(1)
The following is a DFT calculation (PBE) of a geometry-optimized NdMgAgSe3 structure.

Geometry as POSCAR:
```
NdMgAgSe3
1.0
4.378 3.856 3.733
-6.013 -0.255 -3.427
-5.141 -3.122 9.254
Nd Mg Se Ag
2 2 6 2
direct
0.000 0.000 0.500
0.000 0.000 0.000
0.770 0.230 0.750
0.230 0.770 0.250
0.652 0.348 0.423
0.652 0.348 0.077
0.883 0.117 0.250
0.348 0.652 0.923
0.348 0.652 0.577
0.117 0.883 0.750
0.518 0.482 0.250
0.482 0.518 0.750
```

## Properties
* mass density: 5.9 Mg/m³
* crystal system: orthorhombic
* total moment: 0.00 μB per cell



(2)
The following is a DFT calculation (PBE) of a geometry-optimized TaPb2SeO6 structure.

Geometry as POSCAR:
```
TaPb2SeO6
1.0
2.949 1.702 4.475
-2.949 1.702 4.475
0.000 -3.405 4.475
O Ta Pb Se
6 1 2 1
direct
0.781 0.171 0.311
0.689 0.219 0.829
0.311 0.781 0.171
0.829 0.689 0.219
0.219 0.829 0.689
0.171 0.311 0.781
0.000 0.000 0.000
0.247 0.247 0.247
0.753 0.753 0.753
0.500 0.500 0.500
```

## Properties
* mass density: 9.5 Mg/m³
* energy above the lowest structure with this stoichiometry: 1.9 kJ/mol of atoms
* crystal system: trigonal
* total moment: 0.64 μB per cell



(3)
The following is a DFT calculation (PBE) of a geometry-optimized Na2NbGa2MoOs2 structure.

Geometry as POSCAR:
```
Na2NbGa2MoOs2
1.0
-1.111 3.889 -1.865
-3.968 -0.166 2.017
2.391 3.060 4.957
Os Ga Mo Na Nb
2 2 1 2 1
direct
0.500 0.000 0.759
0.000 0.500 0.241
0.500 0.500 0.000
0.000 0.000 0.500
0.000 0.000 0.000
0.500 0.000 0.249
0.000 0.500 0.751
0.500 0.500 0.500
```

## Properties
* mass density: 10.0 Mg/m³
* crystal system: tetragonal
* total moment: 0.01 μB per cell



(4)
The following is a DFT calculation (PBE) of a geometry-optimized NaCuGeTeSe2 structure.

Geometry as POSCAR:
```
NaCuGeTeSe2
1.0
1.826 -7.081 0.000
1.826 7.081 0.000
0.000 0.000 11.056
Na Ge Cu Se Te
2 2 2 4 2
direct
0.767 0.233 0.750
0.233 0.767 0.250
0.000 0.000 0.500
0.000 0.000 0.000
0.559 0.441 0.250
0.441 0.559 0.750
0.628 0.372 0.054
0.372 0.628 0.554
0.628 0.372 0.446
0.372 0.628 0.946
0.925 0.075 0.250
0.075 0.925 0.750
```

## Properties
* mass density: 5.2 Mg/m³
* crystal system: orthorhombic



Number 1: raw total energy -26.073 eV per formula unit. Number 2: raw total energy -65.920 eV per formula unit. Number 3: raw total energy -50.322 eV per formula unit. Number 4: raw total energy -21.614 eV per formula unit.